Computed, not measured: a relaxed structure of KScFe3 at the PBE-GGA level of DFT.

```
data_KScFe3
_chemical_formula_sum 'K1 Sc1 Fe3'
_cell_length_a 4.8660
_cell_length_b 4.8660
_cell_length_c 4.8660
_cell_angle_alpha 90.00
_cell_angle_beta 90.00
_cell_angle_gamma 90.00
_symmetry_space_group_name_H-M 'P m -3 m'
_symmetry_Int_Tables_number 221
_symmetry_space_group_name_Hall '-P 4 2 3'
loop_
_atom_site_label
_atom_site_fract_x
_atom_site_fract_y
_atom_site_fract_z
K1 0.0000 0.0000 0.0000
Sc1 0.5000 0.5000 0.5000
Fe1 0.0000 0.5000 0.5000
```

Output
The magnetization comes out at 7.132 Bohr magnetons per cell. The formation energy comes out at 1.39 eV/atom. The density of states at the Fermi level comes out at 7.3 states/eV/cell.